Record 1
# SmCoB2Ru, relaxed, DFT PBE
# total magnetic moment = 0.00 μB/cell
# V = 69 Å³ per cell
# symmetry = I-4m2 (119)
# crystal system = tetragonal
# formation energy from the elements = -0.49 eV/atom
# E_tot = -7.38 eV/atom
data_SmCoB2Ru
_chemical_formula_sum 'Sm1 Co1 B2 Ru1'
_cell_length_a 3.781
_cell_length_b 3.781
_cell_length_c 5.534
_cell_angle_alpha 109.97
_cell_angle_beta 109.97
_cell_angle_gamma 90.00
_symmetry_space_group_name_H-M 'P 1'
_symmetry_Int_Tables_number 1
loop_
_symmetry_equiv_pos_as_xyz
'x,y,z'
loop_
_atom_site_label
_atom_site_fract_x
_atom_site_fract_y
_atom_site_fract_z
_atom_site_occupancy
B1 0.665 0.665 0.329 1
B2 0.335 0.335 0.671 1
Ru1 0.250 0.750 0.500 1
Sm1 0.000 0.000 0.000 1
Co1 0.750 0.250 0.500 1

---

Record 2
# CaCuRe2Bi, relaxed, DFT PBE
# total magnetic moment = 3.09 μB/cell
# V = 109 Å³ per cell
# symmetry = P4/mmm (123)
# crystal system = tetragonal
# formation energy from the elements = 1.28 eV/atom
# E_tot = -5.70 eV/atom
data_CaCuRe2Bi
_chemical_formula_sum 'Ca1 Cu1 Re2 Bi1'
_cell_length_a 4.684
_cell_length_b 4.966
_cell_length_c 4.684
_cell_angle_alpha 90.00
_cell_angle_beta 90.00
_cell_angle_gamma 90.00
_symmetry_space_group_name_H-M 'P 1'
_symmetry_Int_Tables_number 1
loop_
_symmetry_equiv_pos_as_xyz
'x,y,z'
loop_
_atom_site_label
_atom_site_fract_x
_atom_site_fract_y
_atom_site_fract_z
_atom_site_occupancy
Re1 0.000 0.000 0.500 1
Re2 0.500 0.000 0.000 1
Cu1 0.000 0.000 0.000 1
Bi1 0.500 0.500 0.500 1
Ca1 0.000 0.500 0.000 1

---

Q: total magnetic moment of number 1 (SmCoB2Ru)?
A: 0.00 μB/cell

---

Q: What is the formula in the second record?
A: CaCuRe2Bi

---

Q: Look up the formation energy from the elements of the first one.
A: -0.49 eV/atom

---

Q: What is the E_tot in the first record?
A: -7.38 eV/atom